(1)
Nd2ErZn2In2 (PBE, relaxed); space group = R-3m (166); total moment = 0.000 μB/f.u.; ΔH_f (0 K) = -0.289 eV/atom
1.0
2.358 1.361 9.376
-2.358 1.361 9.376
0.000 -2.723 9.376
Nd Er Zn In
2 1 2 2
direct
0.126 0.126 0.126
0.874 0.874 0.874
0.000 0.000 0.000
0.390 0.390 0.390
0.610 0.610 0.610
0.268 0.268 0.268
0.732 0.732 0.732

(2)
CsCa2PrCl8 (PBE, relaxed); ΔE_f (raw) = -2.2402 eV per atom; space group = P-1 (2); total moment = 0.000 μB/f.u.
1.0
6.604 0.000 0.000
0.108 6.806 0.000
0.012 0.008 8.989
Cs Ca Pr Cl
1 2 1 8
direct
0.000 0.000 0.000
0.500 0.500 0.245
0.500 0.500 0.755
0.000 0.000 0.500
0.249 0.821 0.708
0.250 0.822 0.292
0.271 0.325 0.500
0.280 0.392 0.000
0.720 0.608 0.000
0.729 0.675 0.500
0.750 0.178 0.708
0.751 0.179 0.292